The following is a GGA+U calculation of MgCoP2O7 after structural relaxation, from Alexandria via LeMat-Bulk.

Unit cell a=5.542 b=6.423 c=7.389 alpha=82.52 beta=87.26 gamma=71.76
Fractional coordinates of all 22 atoms:
O 0.390 0.354 0.570
O 0.951 0.785 0.543
O 0.049 0.215 0.457
O 0.698 0.134 0.880
O 0.302 0.866 0.120
O 0.075 0.278 0.794
O 0.610 0.043 0.328
O 0.645 0.548 0.829
O 0.109 0.691 0.897
O 0.925 0.722 0.206
O 0.610 0.646 0.430
O 0.390 0.957 0.672
O 0.891 0.309 0.103
O 0.355 0.452 0.171
Co 0.247 0.163 0.200
Co 0.753 0.837 0.800
Mg 0.333 0.659 0.651
Mg 0.667 0.341 0.349
P 0.231 0.197 0.614
P 0.189 0.686 0.095
P 0.769 0.803 0.386
P 0.811 0.314 0.905

Values from the calculation:
* electronic total energy: -6.94 eV/atom
* DOS(E_F): 0.00 states/eV/f.u.
* space-group type: No. 2
* crystal system: triclinic